# 1
10
Lattice="5.771 0.000 0.000 2.885 4.997 0.000 2.885 1.666 5.040" Properties=species:S:1:pos:R:3 comment="CaTb2ZrO6 GGA-PBE optimized geometry" crystal_system=trigonal sg="R3 (146)" e_tot_ev_per_atom=-8.330 raw_formation_energy_ev_per_fu=-33.7 total_magnetization_mub_per_fu=0.00 pbc="T T T"
O 4.760 1.478 1.230
O 6.547 4.743 3.844
O 4.671 5.133 1.230
O 7.881 3.383 1.230
O 4.161 3.298 3.844
O 6.605 1.954 3.844
Tb 5.771 3.332 2.130
Tb 2.885 1.666 4.673
Zr 2.885 1.666 0.304
Ca 8.656 4.998 2.951

***

# 2
8
Lattice="8.628 0.000 0.000 0.000 8.628 0.000 4.314 4.314 3.507" Properties=species:S:1:pos:R:3 comment="NaCa2Mn GGA-PBE optimized geometry" e_above_lowest_polymorph_mev_per_atom=207 crystal_system=tetragonal sg="I-42d (122)" delta_e_f_ev_per_atom=0.5671 e_tot_ev_per_atom=-3.056 total_magnetization_mub_per_fu=3.71 pbc="T T T"
Ca 1.942 6.471 0.877
Ca 10.785 10.999 2.630
Ca 6.685 2.157 0.877
Ca 6.471 6.256 2.630
Na 4.314 4.314 0.000
Na 4.314 8.628 1.754
Mn 8.628 4.314 1.754
Mn 0.000 0.000 0.000

***

# 3
5
Lattice="-2.889 3.351 -1.364 -1.525 -2.710 -3.430 -4.029 -2.077 3.432" Properties=species:S:1:pos:R:3 comment="GaSICl2 GGA-PBE optimized geometry" e_above_lowest_polymorph_mev_per_atom=0 crystal_system=tetragonal sg="P4/mmm (123)" e_tot_ev_per_atom=-2.613 raw_formation_energy_ev_per_fu=-0.7 total_magnetization_mub_per_fu=0.00 pbc="T T T"
Cl -0.762 -1.355 -1.715
Cl -1.444 1.676 -0.682
Ga 0.000 0.000 0.000
S -2.015 -1.038 1.716
I -4.222 -0.718 -0.681

***

# 4
5
Lattice="-3.706 -2.480 1.339 2.706 -2.512 2.837 -0.789 3.036 3.441" Properties=species:S:1:pos:R:3 comment="ZnCd3O GGA-PBE optimized geometry" e_above_lowest_polymorph_mev_per_atom=0 crystal_system=cubic sg="Pm-3m (221)" e_tot_ev_per_atom=-1.840 raw_formation_energy_ev_per_fu=-0.2 total_magnetization_mub_per_fu=0.00 pbc="T T T"
Cd -0.394 1.518 1.721
Cd 1.353 -1.256 1.418
Cd -1.853 -1.240 0.669
Zn -0.894 -0.978 3.808
O 0.000 0.000 0.000

***

# 5
6
Lattice="-0.997 -0.911 4.101 1.185 -3.164 -2.687 6.891 0.975 1.891" Properties=species:S:1:pos:R:3 comment="NdDyGa2Ni2 GGA-PBE optimized geometry" crystal_system=trigonal sg="P-3m1 (164)" delta_e_f_ev_per_atom=-0.5716 e_tot_ev_per_atom=-5.069 total_magnetization_mub_per_fu=0.00 pbc="T T T"
Nd 0.000 0.000 0.000
Ni 1.598 -1.398 2.350
Ni 5.482 -1.702 0.954
Dy 3.446 0.487 0.946
Ga 4.780 -0.948 3.224
Ga 2.300 -2.152 0.081

***

# 6
8
Lattice="-2.168 -1.568 -2.301 -1.476 -1.825 2.634 -7.614 4.635 1.309" Properties=species:S:1:pos:R:3 comment="VNi2Ir GGA-PBE optimized geometry" crystal_system=tetragonal sg="I-42d (122)" delta_e_f_ev_per_atom=0.1614 e_tot_ev_per_atom=-7.224 total_magnetization_mub_per_fu=0.00 pbc="T T T"
Ni -3.093 -0.175 1.690
Ni -8.901 0.503 1.279
Ni -3.447 -0.052 -0.786
Ni -7.074 2.207 1.102
V -1.822 -1.697 0.167
V -5.456 0.556 2.055
Ir -5.801 0.685 -0.413
Ir 0.000 0.000 0.000

***

# 7
9
Lattice="-3.152 -0.583 -5.394 6.039 -1.712 0.303 -8.273 -4.614 9.027" Properties=species:S:1:pos:R:3 comment="Pr3Sm4Er2 GGA-PBE optimized geometry" e_above_lowest_polymorph_mev_per_atom=0 crystal_system=triclinic sg="P-1 (2)" delta_e_f_ev_per_atom=0.0168 e_tot_ev_per_atom=-4.688 total_magnetization_mub_per_fu=0.00 pbc="T T T"
Pr -6.592 -3.579 3.056
Pr 1.206 -3.331 0.879
Pr 0.000 0.000 0.000
Sm -1.775 -1.984 2.485
Sm 2.985 -1.342 -1.606
Sm -8.370 -5.568 5.541
Sm -3.610 -4.926 1.450
Er -3.532 -3.954 4.952
Er -1.853 -2.956 -1.017

***

# 8
4
Lattice="6.899 -0.003 0.087 -4.617 5.126 0.087 1.129 2.534 2.968" Properties=species:S:1:pos:R:3 comment="K2ZrIr GGA-PBE optimized geometry" e_above_lowest_polymorph_mev_per_atom=576 crystal_system=monoclinic sg="C2/m (12)" delta_e_f_ev_per_atom=0.6793 e_tot_ev_per_atom=-4.222 total_magnetization_mub_per_fu=0.41 pbc="T T T"
Zr 4.014 1.266 1.528
Ir -1.744 3.830 1.528
K 1.141 2.562 0.087
K 0.000 0.000 0.000

***

# 9
20
Lattice="3.444 0.000 0.000 0.000 10.185 0.000 0.000 0.000 10.185" Properties=species:S:1:pos:R:3 comment="Ce2NpAl2Ru5 GGA-PBE optimized geometry" crystal_system=tetragonal sg="P4/mbm (127)" delta_e_f_ev_per_atom=-0.3697 e_tot_ev_per_atom=-8.237 total_magnetization_mub_per_fu=2.45 pbc="T T T"
Al 0.000 3.807 1.285
Al 0.000 8.900 3.807
Al 0.000 1.285 6.378
Al 0.000 6.378 8.900
Ru 1.722 0.000 5.093
Ru 1.722 3.031 5.799
Ru 1.722 7.155 4.386
Ru 1.722 9.479 2.062
Ru 1.722 8.123 9.479
Ru 1.722 0.706 8.123
Ru 1.722 5.799 7.155
Ru 1.722 4.386 3.031
Ru 1.722 2.062 0.706
Ru 1.722 5.093 0.000
Ce 0.000 1.733 3.359
Ce 0.000 8.452 6.826
Ce 0.000 6.826 1.733
Ce 0.000 3.359 8.452
Np 0.000 5.093 5.093
Np 0.000 0.000 0.000

***

# 10
4
Lattice="-3.070 -3.449 -0.198 0.552 -0.752 4.527 -4.945 4.325 1.322" Properties=species:S:1:pos:R:3 comment="AcLaHgTe GGA-PBE optimized geometry" e_above_lowest_polymorph_mev_per_atom=0 crystal_system=tetragonal sg="P4/mmm (123)" e_tot_ev_per_atom=-4.082 raw_formation_energy_ev_per_fu=-3.8 total_magnetization_mub_per_fu=0.00 pbc="T T T"
Hg -1.259 -2.101 2.164
La -3.731 0.062 2.825
Ac 0.000 0.000 0.000
Te -2.472 2.162 0.661

***

# 11
9
Lattice="-4.259 0.453 0.778 -3.662 -1.973 -6.725 -3.063 -7.282 -0.355" Properties=species:S:1:pos:R:3 comment="BaCd6Pd2 GGA-PBE optimized geometry" crystal_system=orthorhombic sg="Immm (71)" delta_e_f_ev_per_atom=-0.1312 e_tot_ev_per_atom=-2.109 total_magnetization_mub_per_fu=0.00 pbc="T T T"
Cd -2.512 -2.618 -0.052
Cd -8.472 -6.184 -6.250
Cd -5.591 -3.522 -4.206
Cd -2.721 -0.765 -2.275
Cd -5.393 -5.280 -2.097
Cd -8.263 -8.037 -4.027
Pd -7.898 -5.263 -3.643
Pd -3.086 -3.539 -2.659
Ba 0.000 0.000 0.000

***

# 12
16
Lattice="-2.682 3.754 -3.638 -0.210 -4.077 -4.053 -9.714 -3.267 3.789" Properties=species:S:1:pos:R:3 comment="ThTc GGA-PBE optimized geometry" crystal_system=orthorhombic sg="P2_12_12_1 (19)" delta_e_f_ev_per_atom=-0.0501 e_tot_ev_per_atom=-8.943 total_magnetization_mub_per_fu=0.00 pbc="T T T"
Tc -7.372 -2.670 -0.186
Tc -6.522 -0.925 -1.834
Tc -12.237 -2.407 -2.009
Tc -2.279 -2.255 -2.526
Tc -1.281 -2.091 -5.015
Tc -5.407 1.508 -2.067
Tc -10.152 -3.764 -3.024
Tc -5.170 -1.758 1.055
Th -4.650 -3.511 -1.190
Th -9.465 -0.830 -1.784
Th -7.282 -3.208 -3.682
Th -3.481 -0.098 -0.696
Th -3.039 2.714 -3.453
Th -8.052 -5.460 -1.283
Th -10.240 -3.176 0.521
Th -4.213 -0.793 -4.041